Compound: LaHN3
Source: Alexandria via LeMat-Bulk
Functional: GGA-PBE
Structure: optimized geometry

The total magnetization is 0.714 μB per cell. Its density of states at the Fermi level is 7.42 states/eV per cell. The value obtained for the electronic total energy is -7.148 eV/atom. The calculation puts the volume at 309.7 Å³ per cell.

It has space group C2/m (No. 12), with a = 10.916 Å, b = 3.756 Å, c = 8.488 Å, α = 90.00°, β = 117.12° and γ = 90.00°. The inequivalent atoms are La at (0.116, 0.000, 0.308), H at (0.093, 0.500, 0.574), N at (0.101, 0.500, 0.923), N at (0.143, 0.500, 0.495) and N at (0.156, 0.500, 0.078).